No. 1
First-principles (meta-GGA SCAN) data for Dy2TiO5 at its PBEsol-relaxed geometry, as listed in the Alexandria database.

Cell: 5.850 5.850 10.375 Å, 90.00 90.00 139.77°
Element x y z (fractional)
1 Dy 0.143 0.857 0.570
2 Dy 0.143 0.857 0.930
3 Dy 0.857 0.143 0.070
4 Dy 0.857 0.143 0.430
5 Ti 0.170 0.830 0.250
6 Ti 0.830 0.170 0.750
7 O 0.050 0.950 0.123
8 O 0.050 0.950 0.377
9 O 0.277 0.723 0.750
10 O 0.288 0.712 0.092
11 O 0.288 0.712 0.408
12 O 0.712 0.288 0.592
13 O 0.712 0.288 0.908
14 O 0.723 0.277 0.250
15 O 0.950 0.050 0.623
16 O 0.950 0.050 0.877

Polymorph energy (0 for the lowest one), eV/f.u.: 0.545
Space-group type: Cmcm, No. 63
Formation energy without anion corrections, eV per atom: -3.6672
VASP energy, eV for the cell shown: -344.23

No. 2
First-principles (meta-GGA SCAN) data for Be2TeRhPb at its PBEsol-relaxed geometry, as listed in the Alexandria database.

Cell: 4.418 4.418 5.318 Å, 90.00 90.00 90.00°
Element x y z (fractional)
1 Be 0.000 0.500 0.000
2 Be 0.500 0.000 0.000
3 Te 0.000 0.000 0.500
4 Rh 0.500 0.500 0.500
5 Pb 0.500 0.500 0.000

Space-group type: P4/mmm, No. 123
Formation energy without anion corrections, eV per atom: 0.9814
VASP energy, eV for the cell shown: -150.60

No. 3
First-principles (meta-GGA SCAN) data for Ca5Sn3 at its PBEsol-relaxed geometry, as listed in the Alexandria database.

Cell: 9.478 9.478 9.478 Å, 129.77 129.77 73.78°
Element x y z (fractional)
1 Ca 0.000 0.000 0.000
2 Ca 0.032 0.532 0.850
3 Ca 0.182 0.032 0.500
4 Ca 0.318 0.818 0.850
5 Ca 0.468 0.318 0.500
6 Ca 0.500 0.500 0.000
7 Ca 0.532 0.682 0.500
8 Ca 0.682 0.182 0.150
9 Ca 0.818 0.968 0.500
10 Ca 0.968 0.468 0.150
11 Sn 0.125 0.375 0.500
12 Sn 0.250 0.250 0.000
13 Sn 0.375 0.875 0.249
14 Sn 0.625 0.125 0.751
15 Sn 0.750 0.750 0.000
16 Sn 0.875 0.625 0.500

Space-group type: I4/mcm, No. 140
ΔH_f (0 K), meV per atom: -724
VASP energy, eV for the cell shown: -323.75

> Number 3 is which compound?

Ca5Sn3